No. 1
A relaxed K3MnO crystal, computed with PBE with a Hubbard U.

Lattice parameters (Å, degrees): 5.524 5.524 5.524 90.00 90.00 90.00
Space group Pm-3m (No. 221)
Symmetry-distinct sites (fractional):
K: 0.000 0.000 0.500 (multiplicity 3)
Mn: 0.500 0.500 0.500 (multiplicity 1)
O: 0.000 0.000 0.000 (multiplicity 1)

The calculation puts the density of states at the Fermi level at 0.54 states/eV/atom. The magnetic moment comes out at 5.805 μB per formula unit. The volume is 169 Å³/f.u.

No. 2
A relaxed K5MnO4 crystal, computed with PBE with a Hubbard U.

Lattice parameters (Å, degrees): 8.172 8.404 6.022 90.00 90.00 90.00
Space group Pmmn (No. 59, origin choice 2)
Symmetry-distinct sites (fractional):
K: 0.017 0.059 0.241 (multiplicity 8)
K: 0.250 0.750 0.356 (multiplicity 2)
Mn: 0.250 0.250 0.714 (multiplicity 2)
O: 0.034 0.250 0.856 (multiplicity 4)
O: 0.250 0.040 0.566 (multiplicity 4)

The magnetic moment comes out at 4.000 μB per formula unit. The volume is 207 Å³/f.u.

No. 3
A relaxed KMn2O crystal, computed with PBE with a Hubbard U.

Lattice parameters (Å, degrees): 6.704 6.704 9.460 90.00 90.00 90.00
Space group I4_1/amd (No. 141, origin choice 2)
Symmetry-distinct sites (fractional):
K: 0.000 0.250 0.375 (multiplicity 4)
Mn: 0.000 0.000 0.000 (multiplicity 8)
O: 0.000 0.250 0.875 (multiplicity 4)

The calculation puts the density of states at the Fermi level at 0.70 states/eV/atom. The magnetic moment comes out at 8.333 μB per formula unit. The volume is 106 Å³/f.u.

No. 4
A relaxed K5Mn2O5 crystal, computed with PBE with a Hubbard U.

Lattice parameters (Å, degrees): 12.071 3.663 9.865 90.00 102.62 90.00
Space group C2/m (No. 12)
Symmetry-distinct sites (fractional):
K: 0.000 0.000 0.000 (multiplicity 2)
K: 0.154 0.000 0.565 (multiplicity 4)
K: 0.233 0.500 0.132 (multiplicity 4)
Mn: 0.020 0.500 0.298 (multiplicity 4)
O: 0.000 0.500 0.500 (multiplicity 2)
O: 0.106 0.000 0.292 (multiplicity 4)
O: 0.109 0.500 0.861 (multiplicity 4)

The calculation puts the density of states at the Fermi level at 0.21 states/eV/atom. The magnetic moment comes out at 9.000 μB per formula unit. The volume is 213 Å³/f.u.

No. 5
A relaxed K3MnO3 crystal, computed with PBE with a Hubbard U.

Lattice parameters (Å, degrees): 6.725 11.716 6.835 90.00 95.58 90.00
Space group P2_1/c (No. 14)
Symmetry-distinct sites (fractional):
K: 0.023 0.226 0.086 (multiplicity 4)
K: 0.347 0.509 0.643 (multiplicity 4)
K: 0.476 0.213 0.492 (multiplicity 4)
Mn: 0.160 0.503 0.161 (multiplicity 4)
O: 0.107 0.075 0.403 (multiplicity 4)
O: 0.279 0.120 0.806 (multiplicity 4)
O: 0.301 0.627 0.286 (multiplicity 4)

The calculation puts the density of states at the Fermi level at 0.00 states/eV/atom. The magnetic moment comes out at 4.000 μB per formula unit. The volume is 134 Å³/f.u.

No. 6
A relaxed K2MnO4 crystal, computed with PBE with a Hubbard U.

Lattice parameters (Å, degrees): 6.081 7.773 11.829 90.00 117.68 90.00
Space group P2_1/c (No. 14)
Symmetry-distinct sites (fractional):
K: 0.024 0.006 0.299 (multiplicity 4)
K: 0.312 0.169 0.079 (multiplicity 4)
Mn: 0.336 0.728 0.079 (multiplicity 4)
O: 0.178 0.673 0.644 (multiplicity 4)
O: 0.232 0.695 0.431 (multiplicity 4)
O: 0.291 0.518 0.075 (multiplicity 4)
O: 0.362 0.231 0.835 (multiplicity 4)

The magnetic moment comes out at 1.000 μB per formula unit. The volume is 124 Å³/f.u.

no.,VASP energy (eV/atom)
1,-3.32
2,-4.55
3,-5.53
4,-5.06
5,-5.09
6,-5.54